DFT (PBE+U) results for a geometry-optimized SrFeO3 structure.

Calculated values
E_tot   -56.213 eV/cell
SG   I-4m2, No. 119
Calculated volume   154.84 Å³ per cell

abc: 3.7025 3.7025 11.5950
angles: 80.81 80.81 90.00
Sites, in units of the cell vectors:
Fe 0.6372 0.1372 0.7256
O 0.6055 0.9083 0.1833
O 0.0917 0.3945 0.8167
O 0.0917 0.7888 0.8167
Sr 0.0000 0.0000 0.0000
O 0.6837 0.6837 0.6327
Sr 0.2500 0.7500 0.5000
O 0.3163 0.3163 0.3673
Fe 0.8628 0.3628 0.2744
O 0.2112 0.9083 0.1833